1.
Crystalline ZrReSb2 at its relaxed geometry, computed with PBE-GGA.

```
data_ZrReSb2
_chemical_formula_sum 'Zr1 Re1 Sb2'
_symmetry_space_group_name_H-M 'P 1'
_symmetry_Int_Tables_number 1
_cell_length_a 10.537
_cell_length_b 10.537
_cell_length_c 10.537
_cell_angle_alpha 17.89
_cell_angle_beta 17.89
_cell_angle_gamma 17.89
loop_
_symmetry_equiv_pos_as_xyz
'x,y,z'
loop_
_atom_site_label
_atom_site_type_symbol
_atom_site_fract_x
_atom_site_fract_y
_atom_site_fract_z
Re1 Re 0.756 0.756 0.756
Sb1 Sb 0.022 0.022 0.022
Sb2 Sb 0.234 0.234 0.234
Zr1 Zr 0.488 0.488 0.488
```

Results
DFT total energy	-28.9	eV for the cell shown
volume	96.3	Å³/cell
symmetry	R3m (160)
relative energy among the computed polymorphs	63	kJ/mol of formula units
E_form (uncorrected)	0.08	eV/atom
M_tot	0.00	μB/atom

***

2.
Crystalline ZrRe4Sb at its relaxed geometry, computed with PBE-GGA.

```
data_ZrRe4Sb
_chemical_formula_sum 'Zr1 Re4 Sb1'
_symmetry_space_group_name_H-M 'P 1'
_symmetry_Int_Tables_number 1
_cell_length_a 5.312
_cell_length_b 5.312
_cell_length_c 5.312
_cell_angle_alpha 60.00
_cell_angle_beta 60.00
_cell_angle_gamma 60.00
loop_
_symmetry_equiv_pos_as_xyz
'x,y,z'
loop_
_atom_site_label
_atom_site_type_symbol
_atom_site_fract_x
_atom_site_fract_y
_atom_site_fract_z
Zr1 Zr 0.000 0.000 0.000
Re1 Re 0.874 0.375 0.375
Re2 Re 0.375 0.375 0.874
Re3 Re 0.375 0.874 0.375
Re4 Re 0.375 0.375 0.375
Sb1 Sb 0.750 0.750 0.750
```

Results
DFT total energy	-61.4	eV for the cell shown
volume	106.0	Å³/cell
symmetry	F-43m (216)
E_form (uncorrected)	0.17	eV/atom
M_tot	0.00	μB/atom

***

3.
Crystalline ZrReSb2 at its relaxed geometry, computed with PBE-GGA.

```
data_ZrReSb2
_chemical_formula_sum 'Zr1 Re1 Sb2'
_symmetry_space_group_name_H-M 'P 1'
_symmetry_Int_Tables_number 1
_cell_length_a 4.831
_cell_length_b 4.831
_cell_length_c 4.831
_cell_angle_alpha 60.00
_cell_angle_beta 60.00
_cell_angle_gamma 60.00
loop_
_symmetry_equiv_pos_as_xyz
'x,y,z'
loop_
_atom_site_label
_atom_site_type_symbol
_atom_site_fract_x
_atom_site_fract_y
_atom_site_fract_z
Re1 Re 0.500 0.500 0.500
Zr1 Zr 0.000 0.000 0.000
Sb1 Sb 0.250 0.250 0.250
Sb2 Sb 0.750 0.750 0.750
```

Results
DFT total energy	-28.7	eV for the cell shown
volume	79.7	Å³/cell
symmetry	Fm-3m (225)
relative energy among the computed polymorphs	81	kJ/mol of formula units
E_form (uncorrected)	0.13	eV/atom
M_tot	0.24	μB/atom

***

4.
Crystalline ZrReSb at its relaxed geometry, computed with PBE-GGA.

```
data_ZrReSb
_chemical_formula_sum 'Zr1 Re1 Sb1'
_symmetry_space_group_name_H-M 'P 1'
_symmetry_Int_Tables_number 1
_cell_length_a 3.308
_cell_length_b 3.308
_cell_length_c 6.547
_cell_angle_alpha 90.00
_cell_angle_beta 90.00
_cell_angle_gamma 120.00
loop_
_symmetry_equiv_pos_as_xyz
'x,y,z'
loop_
_atom_site_label
_atom_site_type_symbol
_atom_site_fract_x
_atom_site_fract_y
_atom_site_fract_z
Re1 Re 0.000 0.000 0.993
Sb1 Sb 0.667 0.333 0.311
Zr1 Zr 0.333 0.667 0.696
```

Results
DFT total energy	-24.5	eV for the cell shown
volume	62.0	Å³/cell
symmetry	P3m1 (156)
relative energy among the computed polymorphs	75	kJ/mol of formula units
E_form (uncorrected)	0.22	eV/atom
M_tot	0.00	μB/atom

***

5.
Crystalline ZrReSb2 at its relaxed geometry, computed with PBE-GGA.

```
data_ZrReSb2
_chemical_formula_sum 'Zr1 Re1 Sb2'
_symmetry_space_group_name_H-M 'P 1'
_symmetry_Int_Tables_number 1
_cell_length_a 3.300
_cell_length_b 3.300
_cell_length_c 8.527
_cell_angle_alpha 90.00
_cell_angle_beta 90.00
_cell_angle_gamma 90.00
loop_
_symmetry_equiv_pos_as_xyz
'x,y,z'
loop_
_atom_site_label
_atom_site_type_symbol
_atom_site_fract_x
_atom_site_fract_y
_atom_site_fract_z
Re1 Re 0.500 0.500 0.738
Sb1 Sb 0.000 0.000 0.921
Sb2 Sb 0.500 0.500 0.296
Zr1 Zr 0.000 0.000 0.545
```

Results
DFT total energy	-29.6	eV for the cell shown
volume	92.9	Å³/cell
symmetry	P4mm (99)
relative energy among the computed polymorphs	0	kJ/mol of formula units
E_form (uncorrected)	-0.08	eV/atom
M_tot	0.00	μB/atom

***

6.
Crystalline ZrReSb at its relaxed geometry, computed with PBE-GGA.

```
data_ZrReSb
_chemical_formula_sum 'Zr1 Re1 Sb1'
_symmetry_space_group_name_H-M 'P 1'
_symmetry_Int_Tables_number 1
_cell_length_a 4.639
_cell_length_b 4.639
_cell_length_c 3.151
_cell_angle_alpha 90.00
_cell_angle_beta 90.00
_cell_angle_gamma 120.00
loop_
_symmetry_equiv_pos_as_xyz
'x,y,z'
loop_
_atom_site_label
_atom_site_type_symbol
_atom_site_fract_x
_atom_site_fract_y
_atom_site_fract_z
Re1 Re 0.000 0.000 0.131
Sb1 Sb 0.667 0.333 0.166
Zr1 Zr 0.333 0.667 0.702
```

Results
DFT total energy	-25.2	eV for the cell shown
volume	58.7	Å³/cell
symmetry	P3m1 (156)
relative energy among the computed polymorphs	0	kJ/mol of formula units
E_form (uncorrected)	-0.04	eV/atom
M_tot	0.00	μB/atom

***

7.
Crystalline ZrReSb2 at its relaxed geometry, computed with PBE-GGA.

```
data_ZrReSb2
_chemical_formula_sum 'Zr1 Re1 Sb2'
_symmetry_space_group_name_H-M 'P 1'
_symmetry_Int_Tables_number 1
_cell_length_a 4.338
_cell_length_b 3.358
_cell_length_c 5.835
_cell_angle_alpha 82.29
_cell_angle_beta 90.00
_cell_angle_gamma 90.00
loop_
_symmetry_equiv_pos_as_xyz
'x,y,z'
loop_
_atom_site_label
_atom_site_type_symbol
_atom_site_fract_x
_atom_site_fract_y
_atom_site_fract_z
Re1 Re 0.500 0.750 0.750
Sb1 Sb 0.000 0.907 0.991
Sb2 Sb 0.000 0.593 0.509
Zr1 Zr 0.500 0.250 0.250
```

Results
DFT total energy	-28.4	eV for the cell shown
volume	84.2	Å³/cell
symmetry	P2/m (10)
relative energy among the computed polymorphs	110	kJ/mol of formula units
E_form (uncorrected)	0.20	eV/atom
M_tot	0.00	μB/atom

***

8.
Crystalline ZrReSb2 at its relaxed geometry, computed with PBE-GGA.

```
data_ZrReSb2
_chemical_formula_sum 'Zr1 Re1 Sb2'
_symmetry_space_group_name_H-M 'P 1'
_symmetry_Int_Tables_number 1
_cell_length_a 5.893
_cell_length_b 5.402
_cell_length_c 3.231
_cell_angle_alpha 79.02
_cell_angle_beta 78.51
_cell_angle_gamma 119.07
loop_
_symmetry_equiv_pos_as_xyz
'x,y,z'
loop_
_atom_site_label
_atom_site_type_symbol
_atom_site_fract_x
_atom_site_fract_y
_atom_site_fract_z
Re1 Re 0.500 0.500 0.000
Sb1 Sb 0.000 0.000 0.000
Sb2 Sb 0.500 0.000 0.500
Zr1 Zr 0.000 0.500 0.500
```

Results
DFT total energy	-27.7	eV for the cell shown
volume	83.0	Å³/cell
symmetry	C2/m (12)
relative energy among the computed polymorphs	177	kJ/mol of formula units
E_form (uncorrected)	0.38	eV/atom
M_tot	0.01	μB/atom

***

9.
Crystalline Zr2ReSb at its relaxed geometry, computed with PBE-GGA.

```
data_Zr2ReSb
_chemical_formula_sum 'Zr2 Re1 Sb1'
_symmetry_space_group_name_H-M 'P 1'
_symmetry_Int_Tables_number 1
_cell_length_a 8.909
_cell_length_b 8.909
_cell_length_c 8.909
_cell_angle_alpha 21.77
_cell_angle_beta 21.77
_cell_angle_gamma 21.77
loop_
_symmetry_equiv_pos_as_xyz
'x,y,z'
loop_
_atom_site_label
_atom_site_type_symbol
_atom_site_fract_x
_atom_site_fract_y
_atom_site_fract_z
Re1 Re 0.250 0.250 0.250
Sb1 Sb 0.750 0.750 0.750
Zr1 Zr 0.992 0.992 0.992
Zr2 Zr 0.508 0.508 0.508
```

Results
DFT total energy	-34.1	eV for the cell shown
volume	85.2	Å³/cell
symmetry	R-3m (166)
E_form (uncorrected)	-0.11	eV/atom
M_tot	0.00	μB/atom

***

10.
Crystalline ZrReSb2 at its relaxed geometry, computed with PBE-GGA.

```
data_ZrReSb2
_chemical_formula_sum 'Zr1 Re1 Sb2'
_symmetry_space_group_name_H-M 'P 1'
_symmetry_Int_Tables_number 1
_cell_length_a 3.311
_cell_length_b 3.311
_cell_length_c 7.284
_cell_angle_alpha 90.00
_cell_angle_beta 90.00
_cell_angle_gamma 91.60
loop_
_symmetry_equiv_pos_as_xyz
'x,y,z'
loop_
_atom_site_label
_atom_site_type_symbol
_atom_site_fract_x
_atom_site_fract_y
_atom_site_fract_z
Re1 Re 0.500 0.500 0.750
Sb1 Sb 0.000 0.000 0.974
Sb2 Sb 0.000 0.000 0.526
Zr1 Zr 0.500 0.500 0.250
```

Results
DFT total energy	-28.9	eV for the cell shown
volume	79.8	Å³/cell
symmetry	Cmmm (65)
relative energy among the computed polymorphs	60	kJ/mol of formula units
E_form (uncorrected)	0.07	eV/atom
M_tot	0.00	μB/atom

***

11.
Crystalline ZrReSb2 at its relaxed geometry, computed with PBE-GGA.

```
data_ZrReSb2
_chemical_formula_sum 'Zr1 Re1 Sb2'
_symmetry_space_group_name_H-M 'P 1'
_symmetry_Int_Tables_number 1
_cell_length_a 5.149
_cell_length_b 3.376
_cell_length_c 4.726
_cell_angle_alpha 89.99
_cell_angle_beta 90.00
_cell_angle_gamma 90.00
loop_
_symmetry_equiv_pos_as_xyz
'x,y,z'
loop_
_atom_site_label
_atom_site_type_symbol
_atom_site_fract_x
_atom_site_fract_y
_atom_site_fract_z
Re1 Re 0.500 0.875 0.738
Sb1 Sb 0.000 0.875 0.013
Sb2 Sb 0.500 0.375 0.227
Zr1 Zr 0.000 0.375 0.522
```

Results
DFT total energy	-28.8	eV for the cell shown
volume	82.2	Å³/cell
symmetry	Pmm2 (25)
relative energy among the computed polymorphs	76	kJ/mol of formula units
E_form (uncorrected)	0.12	eV/atom
M_tot	0.00	μB/atom

***

12.
Crystalline ZrReSb2 at its relaxed geometry, computed with PBE-GGA.

```
data_ZrReSb2
_chemical_formula_sum 'Zr1 Re1 Sb2'
_symmetry_space_group_name_H-M 'P 1'
_symmetry_Int_Tables_number 1
_cell_length_a 4.523
_cell_length_b 4.523
_cell_length_c 6.155
_cell_angle_alpha 79.08
_cell_angle_beta 79.08
_cell_angle_gamma 42.95
loop_
_symmetry_equiv_pos_as_xyz
'x,y,z'
loop_
_atom_site_label
_atom_site_type_symbol
_atom_site_fract_x
_atom_site_fract_y
_atom_site_fract_z
Re1 Re 0.750 0.750 0.750
Sb1 Sb 0.007 0.007 0.967
Sb2 Sb 0.493 0.493 0.533
Zr1 Zr 0.250 0.250 0.250
```

Results
DFT total energy	-28.7	eV for the cell shown
volume	84.0	Å³/cell
symmetry	C2/m (12)
relative energy among the computed polymorphs	85	kJ/mol of formula units
E_form (uncorrected)	0.14	eV/atom
M_tot	0.00	μB/atom